1.
The following is a DFT calculation (PBE-GGA) of a relaxed KHfP2H crystal.

a = 4.845 Å, b = 3.674 Å, c = 4.845 Å
α = 90.00°, β = 90.00°, γ = 90.00°
Sites, in units of the cell vectors:
P 0.000 0.000 0.500
P 0.500 0.000 0.000
K 0.500 0.500 0.500
Hf 0.000 0.500 0.000
H 0.000 0.000 0.000

Output
- E: -24.14 eV per formula unit


2.
The following is a DFT calculation (PBE-GGA) of a relaxed KRb2HfH6 crystal.

a = 6.440 Å, b = 6.485 Å, c = 9.051 Å
α = 90.00°, β = 90.00°, γ = 90.00°
Site moments in Bohr magnetons follow the coordinates.
Sites, in units of the cell vectors:
K 0.000 0.752 0.500  0.00
K 0.500 0.248 0.000  0.00
Rb 0.500 0.760 0.249  0.01
Rb 0.000 0.240 0.749  0.01
Rb 0.500 0.760 0.751  0.01
Rb 0.000 0.240 0.251  0.01
Hf 0.500 0.256 0.500  0.44
Hf 0.000 0.744 0.000  0.44
H 0.500 0.216 0.283  0.00
H 0.500 0.216 0.717  0.00
H 0.000 0.784 0.217  0.00
H 0.000 0.784 0.783  0.00
H 0.268 0.053 0.500  0.00
H 0.732 0.053 0.500  0.00
H 0.293 0.484 0.500  0.00
H 0.707 0.484 0.500  0.00
H 0.793 0.516 0.000  0.00
H 0.207 0.516 0.000  0.00
H 0.232 0.947 0.000  0.00
H 0.768 0.947 0.000  0.00

Output
- E: -34.67 eV per formula unit


3.
The following is a DFT calculation (PBE-GGA) of a relaxed KHfH2Rh crystal.

a = 3.922 Å, b = 3.922 Å, c = 5.804 Å
α = 90.00°, β = 90.00°, γ = 90.00°
Sites, in units of the cell vectors:
Rh 0.000 0.000 0.500
K 0.000 0.000 0.000
Hf 0.500 0.500 0.500
H 0.000 0.500 0.000
H 0.500 0.000 0.000

Output
- E: -19.72 eV per formula unit


Number 1: DOS(E_F) 1.627 states/eV/cell. Number 2: DOS(E_F) 6.694 states/eV/cell. Number 3: DOS(E_F) 2.365 states/eV/cell.